Here is an optimized crystal structure of K2Al3CrF12 from Alexandria. Energies are from PBE with a Hubbard U.

Size of the total moment ... 5.00 μB/f.u.
DFT total energy ... -100.4 eV/cell

a b c (Å): 7.127 7.127 7.127
angles (deg): 59.81 59.81 59.81
Sites, in units of the cell vectors:
K (0.127, 0.127, 0.127)
K (0.873, 0.873, 0.873)
Al (0.000, 0.500, 0.500)
Al (0.500, 0.000, 0.500)
Al (0.500, 0.500, 0.000)
Cr (0.500, 0.500, 0.500)
F (0.082, 0.611, 0.611)
F (0.213, 0.213, 0.591)
F (0.213, 0.591, 0.213)
F (0.389, 0.389, 0.918)
F (0.389, 0.918, 0.389)
F (0.409, 0.787, 0.787)
F (0.591, 0.213, 0.213)
F (0.611, 0.082, 0.611)
F (0.611, 0.611, 0.082)
F (0.787, 0.409, 0.787)
F (0.787, 0.787, 0.409)
F (0.918, 0.389, 0.389)